# 1
# Co2PRh, optimized geometry, DFT PBE
data_Co2PRh
_chemical_formula_sum 'Co4 P2 Rh2'
_symmetry_space_group_name_H-M 'I 4/m m m'
_symmetry_Int_Tables_number 139
_symmetry_space_group_name_Hall '-I 4 2'
_cell_length_a 3.610
_cell_length_b 3.610
_cell_length_c 7.149
_cell_angle_alpha 90.00
_cell_angle_beta 90.00
_cell_angle_gamma 90.00
loop_
_atom_site_label
_atom_site_type_symbol
_atom_site_fract_x
_atom_site_fract_y
_atom_site_fract_z
Co1 Co 0.000 0.500 0.250
P1 P 0.000 0.000 0.000
Rh1 Rh 0.000 0.000 0.500
# **DFT formation energy**: -0.05 eV per atom

***

# 2
# YZn3CuNi, optimized geometry, DFT PBE
data_YZn3CuNi
_chemical_formula_sum 'Y4 Zn12 Cu4 Ni4'
_symmetry_space_group_name_H-M 'C m c m'
_symmetry_Int_Tables_number 63
_symmetry_space_group_name_Hall '-C 2c 2'
_cell_length_a 5.787
_cell_length_b 12.861
_cell_length_c 5.315
_cell_angle_alpha 90.00
_cell_angle_beta 90.00
_cell_angle_gamma 90.00
loop_
_atom_site_label
_atom_site_type_symbol
_atom_site_fract_x
_atom_site_fract_y
_atom_site_fract_z
Y1 Y 0.000 0.208 0.250
Zn1 Zn 0.000 0.355 0.750
Zn2 Zn 0.211 0.000 0.000
Cu1 Cu 0.000 0.413 0.250
Ni1 Ni 0.000 0.150 0.750
# **DFT formation energy**: -0.13 eV per atom

***

# 3
# PdAuI4, optimized geometry, DFT PBE
data_PdAuI4
_chemical_formula_sum 'Pd4 Au4 I16'
_symmetry_space_group_name_H-M 'C 1 2/m 1'
_symmetry_Int_Tables_number 12
_symmetry_space_group_name_Hall '-C 2y'
_cell_length_a 20.592
_cell_length_b 5.806
_cell_length_c 8.642
_cell_angle_alpha 90.00
_cell_angle_beta 113.20
_cell_angle_gamma 90.00
loop_
_atom_site_label
_atom_site_type_symbol
_atom_site_fract_x
_atom_site_fract_y
_atom_site_fract_z
Pd1 Pd 0.199 0.000 0.326
Au1 Au 0.135 0.000 0.750
I1 I 0.085 0.000 0.413
I2 I 0.098 0.000 0.011
I3 I 0.196 0.500 0.786
I4 I 0.208 0.500 0.348
# **Energy relative to the lowest polymorph listed for this composition**: 0.010 eV/atom
# **Uncorrected formation energy**: -0.074 eV per atom

***

# 4
# YNp2O11, optimized geometry, DFT PBE
data_YNp2O11
_chemical_formula_sum 'Y2 Np4 O22'
_symmetry_space_group_name_H-M 'P 1'
_symmetry_Int_Tables_number 1
_symmetry_space_group_name_Hall 'P 1'
_cell_length_a 7.939
_cell_length_b 8.199
_cell_length_c 8.214
_cell_angle_alpha 90.47
_cell_angle_beta 106.18
_cell_angle_gamma 105.85
loop_
_atom_site_label
_atom_site_type_symbol
_atom_site_fract_x
_atom_site_fract_y
_atom_site_fract_z
Y1 Y 0.000 0.000 0.000
Y2 Y 0.475 0.650 0.377
Np1 Np 0.446 0.143 0.398
Np2 Np 0.496 0.642 0.882
Np3 Np 0.970 0.005 0.491
Np4 Np 0.985 0.495 0.013
O1 O 0.019 0.043 0.732
O2 O 0.047 0.736 0.029
O3 O 0.116 0.790 0.542
O4 O 0.155 0.739 0.701
O5 O 0.192 0.166 0.495
O6 O 0.197 0.511 0.196
O7 O 0.268 0.491 0.874
O8 O 0.289 0.124 0.169
O9 O 0.318 0.840 0.806
O10 O 0.402 0.899 0.371
O11 O 0.447 0.606 0.642
O12 O 0.513 0.387 0.398
O13 O 0.551 0.668 0.124
O14 O 0.572 0.151 0.621
O15 O 0.703 0.831 0.895
O16 O 0.746 0.489 0.889
O17 O 0.756 0.830 0.488
O18 O 0.770 0.193 0.398
O19 O 0.782 0.257 0.240
O20 O 0.857 0.425 0.257
O21 O 0.928 0.961 0.253
O22 O 0.937 0.256 0.980
# **Uncorrected formation energy**: -2.107 eV per atom

***

# 5
# GaSn2Pt2, optimized geometry, DFT PBE
data_GaSn2Pt2
_chemical_formula_sum 'Ga2 Sn4 Pt4'
_symmetry_space_group_name_H-M 'P 4/m b m'
_symmetry_Int_Tables_number 127
_symmetry_space_group_name_Hall '-P 4 2ab'
_cell_length_a 7.048
_cell_length_b 7.048
_cell_length_c 4.071
_cell_angle_alpha 90.00
_cell_angle_beta 90.00
_cell_angle_gamma 90.00
loop_
_atom_site_label
_atom_site_type_symbol
_atom_site_fract_x
_atom_site_fract_y
_atom_site_fract_z
Ga1 Ga 0.000 0.000 0.000
Sn1 Sn 0.160 0.340 0.500
Pt1 Pt 0.149 0.649 0.000
# **Energy relative to the lowest polymorph listed for this composition**: 0.000 eV/atom
# **DFT formation energy**: -0.27 eV per atom

***

# 6
# Ca2ScAuI, optimized geometry, DFT PBE
data_Ca2ScAuI
_chemical_formula_sum 'Ca2 Sc1 Au1 I1'
_symmetry_space_group_name_H-M 'P 4/m m m'
_symmetry_Int_Tables_number 123
_symmetry_space_group_name_Hall '-P 4 2'
_cell_length_a 5.843
_cell_length_b 5.843
_cell_length_c 5.144
_cell_angle_alpha 90.00
_cell_angle_beta 90.00
_cell_angle_gamma 90.00
loop_
_atom_site_label
_atom_site_type_symbol
_atom_site_fract_x
_atom_site_fract_y
_atom_site_fract_z
Ca1 Ca 0.000 0.500 0.000
Sc1 Sc 0.000 0.000 0.500
Au1 Au 0.000 0.000 0.000
I1 I 0.500 0.500 0.500
# **Energy relative to the lowest polymorph listed for this composition**: 0.000 eV/atom
# **Uncorrected formation energy**: -0.438 eV per atom

***

# 7
# Sc2BeW, optimized geometry, DFT PBE
data_Sc2BeW
_chemical_formula_sum 'Sc4 Be2 W2'
_symmetry_space_group_name_H-M 'I 4/m m m'
_symmetry_Int_Tables_number 139
_symmetry_space_group_name_Hall '-I 4 2'
_cell_length_a 4.046
_cell_length_b 4.046
_cell_length_c 8.322
_cell_angle_alpha 90.00
_cell_angle_beta 90.00
_cell_angle_gamma 90.00
loop_
_atom_site_label
_atom_site_type_symbol
_atom_site_fract_x
_atom_site_fract_y
_atom_site_fract_z
Sc1 Sc 0.000 0.500 0.250
Be1 Be 0.000 0.000 0.000
W1 W 0.000 0.000 0.500
# **DFT formation energy**: 0.29 eV per atom

***

# 8
# LiMnPb, optimized geometry, DFT PBE
data_LiMnPb
_chemical_formula_sum 'Li4 Mn4 Pb4'
_symmetry_space_group_name_H-M 'F -4 3 m'
_symmetry_Int_Tables_number 216
_symmetry_space_group_name_Hall 'F -4 2 3'
_cell_length_a 6.477
_cell_length_b 6.477
_cell_length_c 6.477
_cell_angle_alpha 90.00
_cell_angle_beta 90.00
_cell_angle_gamma 90.00
loop_
_atom_site_label
_atom_site_type_symbol
_atom_site_fract_x
_atom_site_fract_y
_atom_site_fract_z
Li1 Li 0.000 0.000 0.000
Mn1 Mn 0.250 0.250 0.250
Pb1 Pb 0.000 0.000 0.500
# **DFT formation energy**: 0.29 eV per atom

***

# 9
# TmFeCo, optimized geometry, DFT PBE
data_TmFeCo
_chemical_formula_sum 'Tm4 Fe4 Co4'
_symmetry_space_group_name_H-M 'P 21 3'
_symmetry_Int_Tables_number 198
_symmetry_space_group_name_Hall 'P 2ac 2ab 3'
_cell_length_a 5.855
_cell_length_b 5.855
_cell_length_c 5.855
_cell_angle_alpha 90.00
_cell_angle_beta 90.00
_cell_angle_gamma 90.00
loop_
_atom_site_label
_atom_site_type_symbol
_atom_site_fract_x
_atom_site_fract_y
_atom_site_fract_z
Tm1 Tm 0.123 0.377 0.623
Fe1 Fe 0.163 0.163 0.163
Co1 Co 0.088 0.912 0.412
# **DFT formation energy**: -0.07 eV per atom

***

# 10
# TbPmSm2S4, optimized geometry, DFT PBE
data_TbPmSm2S4
_chemical_formula_sum 'Tb1 Pm1 Sm2 S4'
_symmetry_space_group_name_H-M 'P 1 2/m 1'
_symmetry_Int_Tables_number 10
_symmetry_space_group_name_Hall '-P 2y'
_cell_length_a 6.932
_cell_length_b 3.961
_cell_length_c 6.951
_cell_angle_alpha 90.00
_cell_angle_beta 109.07
_cell_angle_gamma 90.00
loop_
_atom_site_label
_atom_site_type_symbol
_atom_site_fract_x
_atom_site_fract_y
_atom_site_fract_z
Tb1 Tb 0.000 0.000 0.000
Pm1 Pm 0.000 0.500 0.500
Sm1 Sm 0.500 0.000 0.500
Sm2 Sm 0.500 0.500 0.000
S1 S 0.245 0.500 0.244
S2 S 0.249 0.000 0.754
# **Uncorrected formation energy**: -2.019 eV per atom

***

# 11
# Dy8Er3Sc3, optimized geometry, DFT PBE
data_Dy8Er3Sc3
_chemical_formula_sum 'Dy16 Er6 Sc6'
_symmetry_space_group_name_H-M 'I m m m'
_symmetry_Int_Tables_number 71
_symmetry_space_group_name_Hall '-I 2 2'
_cell_length_a 5.490
_cell_length_b 10.423
_cell_length_c 14.706
_cell_angle_alpha 90.00
_cell_angle_beta 90.00
_cell_angle_gamma 90.00
loop_
_atom_site_label
_atom_site_type_symbol
_atom_site_fract_x
_atom_site_fract_y
_atom_site_fract_z
Dy1 Dy 0.000 0.159 0.220
Dy2 Dy 0.000 0.339 0.398
Er1 Er 0.000 0.000 0.500
Er2 Er 0.000 0.500 0.176
Sc1 Sc 0.000 0.000 0.000
Sc2 Sc 0.000 0.295 0.000
# **DFT formation energy**: 0.13 eV per atom

***

# 12
# ZnH3O, optimized geometry, DFT PBE
data_ZnH3O
_chemical_formula_sum 'Zn1 H3 O1'
_symmetry_space_group_name_H-M 'P m -3 m'
_symmetry_Int_Tables_number 221
_symmetry_space_group_name_Hall '-P 4 2 3'
_cell_length_a 3.309
_cell_length_b 3.309
_cell_length_c 3.309
_cell_angle_alpha 90.00
_cell_angle_beta 90.00
_cell_angle_gamma 90.00
loop_
_atom_site_label
_atom_site_type_symbol
_atom_site_fract_x
_atom_site_fract_y
_atom_site_fract_z
Zn1 Zn 0.000 0.000 0.000
H1 H 0.000 0.500 0.500
O1 O 0.500 0.500 0.500
# **Energy relative to the lowest polymorph listed for this composition**: 0.000 eV/atom